## GdLu2Se (GGA-PBE)

Data for GdLu2Se after structural relaxation.

Cell: 3.5254 3.5254 8.5803 Å, 90.00 90.00 90.00°
Last column: nearest neighbours and their distance in Å.
Space group P4/mmm (No. 123)
Symmetry-distinct sites (fractional):
Gd1 0.0000 0.0000 0.0000 (multiplicity 1)  4 Gd 3.53, 8 Lu 3.54
Lu1 0.5000 0.5000 0.2926 (multiplicity 2)  4 Se 3.06
Se1 0.0000 0.0000 0.5000 (multiplicity 1)  8 Lu 3.06

Total magnetic moment (μB/f.u.): 7.7
Calculated density (Mg/m³): 9.127
E_tot (eV/atom): -7.30
Formation energy (no corrections) (eV/atom): -0.64

## Ac2Be3AgGe4 (GGA-PBE)

Data for Ac2Be3AgGe4 after structural relaxation.

Cell: 4.3710 4.3710 10.0824 Å, 90.00 90.00 90.00°
Last column: nearest neighbours and their distance in Å.
Space group P-4m2 (No. 115)
Symmetry-distinct sites (fractional):
Ac1 0.0000 0.5000 0.2445 (multiplicity 2)  8 Ge 3.29, 7 Be 3.34-3.66, 2 Ag 3.38
Be1 0.0000 0.5000 0.8811 (multiplicity 2)  5 Ge 2.39-2.49
Be2 0.5000 0.5000 0.5000 (multiplicity 1)  4 Ge 2.63
Ag1 0.0000 0.0000 0.5000 (multiplicity 1)  4 Ge 2.63
Ge1 0.0000 0.0000 0.0000 (multiplicity 1)  4 Be 2.49
Ge2 0.0000 0.5000 0.6444 (multiplicity 2)  3 Be 2.39-2.63, 2 Ag 2.63
Ge3 0.5000 0.5000 0.0000 (multiplicity 1)  4 Be 2.49

Total magnetic moment (μB/f.u.): 0.0
Calculated density (Mg/m³): 7.581
Energy of formation (eV per atom): -0.34
E_tot (eV/atom): -4.41

## DyGa2Au4 (GGA-PBE)

Data for DyGa2Au4 after structural relaxation.

Cell: 17.8110 4.4908 6.7656 Å, 90.00 90.00 90.00°
Last column: nearest neighbours and their distance in Å.
Space group Pnma (No. 62)
Symmetry-distinct sites (fractional):
Dy1 0.1368 0.2500 0.0068 (multiplicity 4)  8 Au 3.10-3.41, 4 Ga 3.22-3.40
Ga1 0.0390 0.7500 0.2304 (multiplicity 4)  5 Au 2.57-2.82
Ga2 0.2201 0.2500 0.5177 (multiplicity 4)  7 Au 2.54-2.77
Au1 0.0357 0.7500 0.8143 (multiplicity 4)  3 Ga 2.63-2.82, 1 Au 2.83
Au2 0.0745 0.2500 0.5129 (multiplicity 4)  2 Ga 2.59-2.67
Au3 0.1811 0.7500 0.3002 (multiplicity 4)  4 Ga 2.57-2.77, 1 Au 2.88
Au4 0.1906 0.7500 0.7245 (multiplicity 4)  3 Ga 2.54-2.70, 1 Au 2.83

Total magnetic moment (μB/f.u.): 0.0
Calculated density (Mg/m³): 13.377
Energy of formation (eV per atom): -0.48
E_tot (eV/atom): -3.88

## Rb4La3GaO8 (GGA-PBE)

Data for Rb4La3GaO8 after structural relaxation.

Cell: 13.0434 7.1184 7.6985 Å, 90.00 120.53 90.00°
Last column: nearest neighbours and their distance in Å.
Space group C2/m (No. 12)
Symmetry-distinct sites (fractional):
Rb1 0.0000 0.0000 0.0000 (multiplicity 2)  2 O 2.69
Rb2 0.0000 0.5000 0.0000 (multiplicity 2)  6 O 2.91-3.25
Rb3 0.2500 0.2500 0.0000 (multiplicity 4)  6 O 2.88-3.21
La1 0.0000 0.0000 0.5000 (multiplicity 2)  6 O 2.42-2.50
La2 0.2500 0.2500 0.5000 (multiplicity 4)  6 O 2.37-2.57
Ga1 0.0000 0.5000 0.5000 (multiplicity 2)  4 O 2.03
O1 0.0244 0.2926 0.3440 (multiplicity 8)  1 Ga 2.03
O2 0.2155 0.0000 0.6802 (multiplicity 4)  3 La 2.42-2.43
O3 0.2322 0.0000 0.2823 (multiplicity 4)  2 La 2.37

Total magnetic moment (μB/f.u.): 0.0
Calculated density (Mg/m³): 5.158
E_tot (eV/atom): -6.09
Formation energy (no corrections) (eV/atom): -2.26